Computed, not measured: CdSiPd2 after structural relaxation at the GGA-PBE level of DFT.

a = 6.4043 Å, b = 7.1448 Å, c = 5.7611 Å
α = 90.00°, β = 90.00°, γ = 90.00°
Closest atoms and distances in Å follow each position.
Fractional positions:
Cd (0.0131, 0.2500, 0.1568)  3 Si 2.84-3.15, 8 Pd 2.84-3.14
Cd (0.4869, 0.7500, 0.6568)  3 Si 2.84-3.15, 8 Pd 2.84-3.14
Cd (0.5131, 0.2500, 0.3432)  3 Si 2.84-3.15, 8 Pd 2.84-3.14
Cd (0.9869, 0.7500, 0.8432)  3 Si 2.84-3.15, 8 Pd 2.84-3.14
Si (0.1143, 0.7500, 0.3705)  6 Pd 2.45-2.55
Si (0.3857, 0.2500, 0.8705)  6 Pd 2.45-2.55
Si (0.6143, 0.7500, 0.1295)  6 Pd 2.45-2.55
Si (0.8857, 0.2500, 0.6295)  6 Pd 2.45-2.55
Pd (0.1986, 0.0486, 0.5951)  3 Si 2.45-2.55
Pd (0.1986, 0.4514, 0.5951)  3 Si 2.45-2.55
Pd (0.3014, 0.5486, 0.0951)  3 Si 2.45-2.55
Pd (0.3014, 0.9514, 0.0951)  3 Si 2.45-2.55
Pd (0.6986, 0.0486, 0.9049)  3 Si 2.45-2.55
Pd (0.6986, 0.4514, 0.9049)  3 Si 2.45-2.55
Pd (0.8014, 0.5486, 0.4049)  3 Si 2.45-2.55
Pd (0.8014, 0.9514, 0.4049)  3 Si 2.45-2.55

Calculated values
Its density of states at the Fermi level is 6.0 states/eV/cell. As for the electronic total energy: -4.633 eV per atom.

Computed, not measured: CdSi2Pd4 after structural relaxation at the GGA-PBE level of DFT.

a = 17.5074 Å, b = 3.9832 Å, c = 6.3034 Å
α = 90.00°, β = 90.00°, γ = 90.00°
Closest atoms and distances in Å follow each position.
Fractional positions:
Cd (0.1354, 0.2500, 0.0017)  7 Pd 2.79-3.09, 2 Si 3.07
Cd (0.3646, 0.7500, 0.5017)  7 Pd 2.79-3.09, 2 Si 3.07
Cd (0.6354, 0.2500, 0.4983)  7 Pd 2.79-3.09, 2 Si 3.07
Cd (0.8646, 0.7500, 0.9983)  7 Pd 2.79-3.09, 2 Si 3.07
Si (0.0394, 0.7500, 0.7432)  7 Pd 2.46-2.58
Si (0.2137, 0.2500, 0.4793)  7 Pd 2.37-2.55
Si (0.2863, 0.7500, 0.9793)  7 Pd 2.37-2.55
Si (0.4606, 0.2500, 0.2432)  7 Pd 2.46-2.58
Si (0.5394, 0.7500, 0.7568)  7 Pd 2.46-2.58
Si (0.7137, 0.2500, 0.0207)  7 Pd 2.37-2.55
Si (0.7863, 0.7500, 0.5207)  7 Pd 2.37-2.55
Si (0.9606, 0.2500, 0.2568)  7 Pd 2.46-2.58
Pd (0.0330, 0.7500, 0.1427)  3 Si 2.47-2.52
Pd (0.0728, 0.2500, 0.5003)  4 Si 2.47-2.58
Pd (0.1793, 0.7500, 0.7130)  4 Si 2.46-2.55
Pd (0.1965, 0.7500, 0.2609)  3 Si 2.37-2.44
Pd (0.3035, 0.2500, 0.7608)  3 Si 2.37-2.44
Pd (0.3207, 0.2500, 0.2130)  4 Si 2.46-2.55
Pd (0.4272, 0.7500, 0.0003)  4 Si 2.47-2.58
Pd (0.4670, 0.2500, 0.6427)  3 Si 2.47-2.52
Pd (0.5330, 0.7500, 0.3573)  3 Si 2.47-2.52
Pd (0.5728, 0.2500, 0.9997)  4 Si 2.47-2.58
Pd (0.6793, 0.7500, 0.7870)  4 Si 2.46-2.55
Pd (0.6965, 0.7500, 0.2392)  3 Si 2.37-2.44
Pd (0.8035, 0.2500, 0.7392)  3 Si 2.37-2.44
Pd (0.8207, 0.2500, 0.2870)  4 Si 2.46-2.55
Pd (0.9272, 0.7500, 0.4997)  4 Si 2.47-2.58
Pd (0.9670, 0.2500, 0.8573)  3 Si 2.47-2.52

Calculated values
Its density of states at the Fermi level is 8.7 states/eV/cell. As for the electronic total energy: -5.177 eV per atom.

Computed, not measured: Cd3SiPd after structural relaxation at the GGA-PBE level of DFT.

a = 5.1099 Å, b = 5.1099 Å, c = 5.1099 Å
α = 90.00°, β = 90.00°, γ = 90.00°
Closest atoms and distances in Å follow each position.
Fractional positions:
Cd (0.0000, 0.0000, 0.5000)  2 Pd 2.55
Cd (0.0000, 0.5000, 0.0000)  2 Pd 2.55
Cd (0.5000, 0.0000, 0.0000)  2 Pd 2.55
Si (0.5000, 0.5000, 0.5000)  12 Cd 3.61
Pd (0.0000, 0.0000, 0.0000)  6 Cd 2.55

Calculated values
Its density of states at the Fermi level is 3.5 states/eV/cell. As for the energy above the most stable polymorph in this dataset: 0 meV/atom. As for the electronic total energy: -2.181 eV per atom.

Computed, not measured: CdSi2Pd after structural relaxation at the GGA-PBE level of DFT.

a = 4.1768 Å, b = 4.1768 Å, c = 16.9083 Å
α = 90.00°, β = 90.00°, γ = 90.00°
Closest atoms and distances in Å follow each position.
Fractional positions:
Cd (0.0000, 0.0000, 0.0000)  4 Si 2.73, 4 Pd 2.95
Cd (0.0000, 0.5000, 0.2500)  4 Si 2.73, 4 Pd 2.95
Cd (0.5000, 0.0000, 0.7500)  4 Si 2.73, 4 Pd 2.95
Cd (0.5000, 0.5000, 0.5000)  4 Si 2.73, 4 Pd 2.95
Si (0.1711, 0.2500, 0.6250)  2 Pd 2.46, 2 Si 2.53, 2 Cd 2.73
Si (0.2500, 0.6711, 0.8750)  2 Pd 2.46, 2 Si 2.53, 2 Cd 2.73
Si (0.2500, 0.8289, 0.3750)  2 Pd 2.46, 2 Si 2.53, 2 Cd 2.73
Si (0.3289, 0.2500, 0.1250)  2 Pd 2.46, 2 Si 2.53, 2 Cd 2.73
Si (0.6711, 0.7500, 0.1250)  2 Pd 2.46, 2 Si 2.53, 2 Cd 2.73
Si (0.7500, 0.1711, 0.3750)  2 Pd 2.46, 2 Si 2.53, 2 Cd 2.73
Si (0.7500, 0.3289, 0.8750)  2 Pd 2.46, 2 Si 2.53, 2 Cd 2.73
Si (0.8289, 0.7500, 0.6250)  2 Pd 2.46, 2 Si 2.53, 2 Cd 2.73
Pd (0.0000, 0.0000, 0.5000)  4 Si 2.46
Pd (0.0000, 0.5000, 0.7500)  4 Si 2.46
Pd (0.5000, 0.0000, 0.2500)  4 Si 2.46
Pd (0.5000, 0.5000, 0.0000)  4 Si 2.46

Calculated values
Its density of states at the Fermi level is 8.8 states/eV/cell. As for the electronic total energy: -4.191 eV per atom.

Computed, not measured: CdSiPd4 after structural relaxation at the GGA-PBE level of DFT.

a = 4.0061 Å, b = 4.0061 Å, c = 6.6869 Å
α = 90.00°, β = 90.00°, γ = 90.00°
Closest atoms and distances in Å follow each position.
Fractional positions:
Cd (0.0000, 0.0000, 0.0000)  8 Pd 2.79
Si (0.5000, 0.5000, 0.5000)  8 Pd 2.45
Pd (0.0000, 0.5000, 0.2899)  2 Si 2.45
Pd (0.0000, 0.5000, 0.7101)  2 Si 2.45
Pd (0.5000, 0.0000, 0.2899)  2 Si 2.45
Pd (0.5000, 0.0000, 0.7101)  2 Si 2.45

Calculated values
Its density of states at the Fermi level is 2.5 states/eV/cell. As for the energy above the most stable polymorph in this dataset: 104 meV/atom. As for the electronic total energy: -4.896 eV per atom.

Computed, not measured: Cd2SiPd8 after structural relaxation at the GGA-PBE level of DFT.

a = 7.6783 Å, b = 7.6783 Å, c = 5.8184 Å
α = 112.21°, β = 112.21°, γ = 34.71°
Closest atoms and distances in Å follow each position.
Fractional positions:
Cd (0.1880, 0.1880, 0.1877)  12 Pd 2.79-2.93
Cd (0.8120, 0.8120, 0.8123)  12 Pd 2.79-2.93
Si (0.5000, 0.5000, 0.5000)  4 Pd 2.32
Pd (0.0000, 0.0000, 0.2529)  2 Si 2.70, 8 Pd 2.82-2.94, 2 Cd 2.93
Pd (0.0000, 0.0000, 0.7471)  2 Si 2.70, 8 Pd 2.82-2.94, 2 Cd 2.93
Pd (0.1806, 0.1806, 0.6804)  8 Pd 2.82-2.90, 4 Cd 2.89-2.91
Pd (0.3688, 0.3688, 0.1098)  1 Si 2.32
Pd (0.3687, 0.3687, 0.6275)  1 Si 2.32
Pd (0.6313, 0.6313, 0.3725)  1 Si 2.32
Pd (0.6312, 0.6312, 0.8902)  1 Si 2.32
Pd (0.8194, 0.8194, 0.3196)  8 Pd 2.82-2.90, 4 Cd 2.89-2.91

Calculated values
Its density of states at the Fermi level is 5.1 states/eV/cell. As for the electronic total energy: -4.788 eV per atom.

Computed, not measured: CdSiPd2 after structural relaxation at the GGA-PBE level of DFT.

a = 7.0567 Å, b = 7.0567 Å, c = 5.5992 Å
α = 90.00°, β = 90.00°, γ = 90.00°
Closest atoms and distances in Å follow each position.
Fractional positions:
Cd (0.0000, 0.0000, 0.0000)  2 Si 2.80, 8 Pd 2.88-3.06
Cd (0.0000, 0.5000, 0.2500)  2 Si 2.80, 8 Pd 2.88-3.06
Cd (0.5000, 0.0000, 0.7500)  2 Si 2.80, 8 Pd 2.88-3.06
Cd (0.5000, 0.5000, 0.5000)  2 Si 2.80, 8 Pd 2.88-3.06
Si (0.0000, 0.0000, 0.5000)  4 Pd 2.33
Si (0.0000, 0.5000, 0.7500)  4 Pd 2.33
Si (0.5000, 0.0000, 0.2500)  4 Pd 2.33
Si (0.5000, 0.5000, 0.0000)  4 Pd 2.33
Pd (0.1923, 0.2500, 0.6250)  2 Si 2.33
Pd (0.2500, 0.6923, 0.8750)  2 Si 2.33
Pd (0.2500, 0.8077, 0.3750)  2 Si 2.33
Pd (0.3077, 0.2500, 0.1250)  2 Si 2.33
Pd (0.6923, 0.7500, 0.1250)  2 Si 2.33
Pd (0.7500, 0.1923, 0.3750)  2 Si 2.33
Pd (0.7500, 0.3077, 0.8750)  2 Si 2.33
Pd (0.8077, 0.7500, 0.6250)  2 Si 2.33

Calculated values
Its density of states at the Fermi level is 4.5 states/eV/cell. As for the electronic total energy: -4.446 eV per atom.

Computed, not measured: CdSiPd2 after structural relaxation at the GGA-PBE level of DFT.

a = 4.1125 Å, b = 4.1125 Å, c = 13.8990 Å
α = 90.00°, β = 90.00°, γ = 120.00°
Closest atoms and distances in Å follow each position.
Fractional positions:
Cd (0.0000, 0.0000, 0.0000)  8 Pd 2.83-3.09
Cd (0.3333, 0.6667, 0.6667)  8 Pd 2.83-3.09
Cd (0.6667, 0.3333, 0.3333)  8 Pd 2.83-3.09
Si (0.0000, 0.0000, 0.5000)  6 Pd 2.50
Si (0.3333, 0.6667, 0.1667)  6 Pd 2.50
Si (0.6667, 0.3333, 0.8333)  6 Pd 2.50
Pd (0.0000, 0.0000, 0.2224)  3 Si 2.50
Pd (0.0000, 0.0000, 0.7776)  3 Si 2.50
Pd (0.3333, 0.6667, 0.4443)  3 Si 2.50
Pd (0.3333, 0.6667, 0.8890)  3 Si 2.50
Pd (0.6667, 0.3333, 0.1110)  3 Si 2.50
Pd (0.6667, 0.3333, 0.5557)  3 Si 2.50

Calculated values
Its density of states at the Fermi level is 3.8 states/eV/cell. As for the electronic total energy: -4.532 eV per atom.

Computed, not measured: CdSiPd6 after structural relaxation at the GGA-PBE level of DFT.

a = 6.6158 Å, b = 6.6158 Å, c = 6.6158 Å
α = 49.36°, β = 49.36°, γ = 49.36°
Closest atoms and distances in Å follow each position.
Fractional positions:
Cd (0.0000, 0.0000, 0.0000)  12 Pd 3.07
Si (0.5000, 0.5000, 0.5000)  6 Pd 2.28
Pd (0.0652, 0.5819, 0.5819)  1 Si 2.28
Pd (0.4181, 0.4181, 0.9348)  1 Si 2.28
Pd (0.4181, 0.9348, 0.4181)  1 Si 2.28
Pd (0.5819, 0.0652, 0.5819)  1 Si 2.28
Pd (0.5819, 0.5819, 0.0652)  1 Si 2.28
Pd (0.9348, 0.4181, 0.4181)  1 Si 2.28

Calculated values
Its density of states at the Fermi level is 5.2 states/eV/cell. As for the electronic total energy: -4.744 eV per atom.

Computed, not measured: Cd2SiPd after structural relaxation at the GGA-PBE level of DFT.

a = 7.7129 Å, b = 7.7129 Å, c = 5.3402 Å
α = 90.00°, β = 90.00°, γ = 90.00°
Closest atoms and distances in Å follow each position.
Fractional positions:
Cd (0.2404, 0.2500, 0.1250)  2 Cd 2.67, 2 Si 2.76, 2 Pd 2.86
Cd (0.2500, 0.7404, 0.3750)  2 Cd 2.67, 2 Si 2.76, 2 Pd 2.86
Cd (0.2500, 0.7596, 0.8750)  2 Cd 2.67, 2 Si 2.76, 2 Pd 2.86
Cd (0.2596, 0.2500, 0.6250)  2 Cd 2.67, 2 Si 2.76, 2 Pd 2.86
Cd (0.7404, 0.7500, 0.6250)  2 Cd 2.67, 2 Si 2.76, 2 Pd 2.86
Cd (0.7500, 0.2404, 0.8750)  2 Cd 2.67, 2 Si 2.76, 2 Pd 2.86
Cd (0.7500, 0.2596, 0.3750)  2 Cd 2.67, 2 Si 2.76, 2 Pd 2.86
Cd (0.7596, 0.7500, 0.1250)  2 Cd 2.67, 2 Si 2.76, 2 Pd 2.86
Si (0.0000, 0.0000, 0.0000)  2 Pd 2.67, 4 Cd 2.76
Si (0.0000, 0.5000, 0.2500)  2 Pd 2.67, 4 Cd 2.76
Si (0.5000, 0.0000, 0.7500)  2 Pd 2.67, 4 Cd 2.76
Si (0.5000, 0.5000, 0.5000)  2 Pd 2.67, 4 Cd 2.76
Pd (0.0000, 0.0000, 0.5000)  2 Si 2.67, 4 Cd 2.86
Pd (0.0000, 0.5000, 0.7500)  2 Si 2.67, 4 Cd 2.86
Pd (0.5000, 0.0000, 0.2500)  2 Si 2.67, 4 Cd 2.86
Pd (0.5000, 0.5000, 0.0000)  2 Si 2.67, 4 Cd 2.86

Calculated values
Its density of states at the Fermi level is 4.8 states/eV/cell. As for the electronic total energy: -2.913 eV per atom.

Computed, not measured: CdSiPd2 after structural relaxation at the GGA-PBE level of DFT.

a = 3.0131 Å, b = 3.0131 Å, c = 6.9806 Å
α = 90.00°, β = 90.00°, γ = 90.00°
Closest atoms and distances in Å follow each position.
Fractional positions:
Cd (0.0000, 0.0000, 0.0000)  8 Pd 2.98, 4 Cd 3.01
Si (0.0000, 0.0000, 0.5000)  8 Pd 2.56
Pd (0.5000, 0.5000, 0.2978)  4 Si 2.56, 1 Pd 2.82
Pd (0.5000, 0.5000, 0.7022)  4 Si 2.56, 1 Pd 2.82

Calculated values
Its density of states at the Fermi level is 2.2 states/eV/cell. As for the electronic total energy: -4.631 eV per atom.

Computed, not measured: Cd6SiPd12 after structural relaxation at the GGA-PBE level of DFT.

a = 6.9483 Å, b = 6.9483 Å, c = 6.9483 Å
α = 94.72°, β = 94.72°, γ = 94.72°
Closest atoms and distances in Å follow each position.
Fractional positions:
Cd (0.1846, 0.3730, 0.7679)  8 Pd 2.71-2.94
Cd (0.2321, 0.8154, 0.6270)  8 Pd 2.71-2.94
Cd (0.3730, 0.7679, 0.1846)  8 Pd 2.71-2.94
Cd (0.6270, 0.2321, 0.8154)  8 Pd 2.71-2.94
Cd (0.7679, 0.1846, 0.3730)  8 Pd 2.71-2.94
Cd (0.8154, 0.6270, 0.2321)  8 Pd 2.71-2.94
Si (0.5000, 0.5000, 0.5000)  6 Pd 2.41
Pd (0.0319, 0.7135, 0.9389)  5 Pd 2.70-2.90, 4 Cd 2.71-2.88
Pd (0.0611, 0.9681, 0.2865)  5 Pd 2.70-2.90, 4 Cd 2.71-2.88
Pd (0.1607, 0.4733, 0.3859)  1 Si 2.41
Pd (0.2865, 0.0611, 0.9681)  5 Pd 2.70-2.90, 4 Cd 2.71-2.88
Pd (0.3859, 0.1607, 0.4733)  1 Si 2.41
Pd (0.4733, 0.3859, 0.1607)  1 Si 2.41
Pd (0.5267, 0.6141, 0.8393)  1 Si 2.41
Pd (0.6141, 0.8393, 0.5267)  1 Si 2.41
Pd (0.7135, 0.9389, 0.0319)  5 Pd 2.70-2.90, 4 Cd 2.71-2.88
Pd (0.8393, 0.5267, 0.6141)  1 Si 2.41
Pd (0.9389, 0.0319, 0.7135)  5 Pd 2.70-2.90, 4 Cd 2.71-2.88
Pd (0.9681, 0.2865, 0.0611)  5 Pd 2.70-2.90, 4 Cd 2.71-2.88

Calculated values
Its density of states at the Fermi level is 7.4 states/eV/cell. As for the electronic total energy: -4.104 eV per atom.